VASP calculation (PBE) on a geometry-optimized RbYIO2 structure.

The energy relative to the elements, uncorrected is -1.68 eV/atom. As for the final energy: -27.3 eV per cell.

It has space group P4/mmm (No. 123), with a = 4.5880 Å, b = 4.5880 Å, c = 6.3566 Å, α = 90.00°, β = 90.00° and γ = 90.00°. Symmetry generates all atoms from Rb at (0.0000, 0.0000, 0.0000), Y at (0.5000, 0.5000, 0.5000), I at (0.5000, 0.5000, 0.0000) and O at (0.0000, 0.5000, 0.5000).

VASP calculation (PBE) on a geometry-optimized EuYMgCu structure.

The value obtained for the formation enthalpy at 0 K is -1.3 kJ/mol of atoms. As for the final energy: -89.9 eV per cell.

It has space group F-43m (No. 216), with a = 7.4489 Å, b = 7.4489 Å, c = 7.4489 Å, α = 90.00°, β = 90.00° and γ = 90.00°. Symmetry generates all atoms from Eu at (0.0000, 0.0000, 0.0000), Y at (0.0000, 0.0000, 0.5000), Mg at (0.2500, 0.2500, 0.7500) and Cu at (0.2500, 0.2500, 0.2500).

VASP calculation (PBE) on a geometry-optimized CeTiH2 structure.

As for the final energy: -43.3 eV per cell.

It has space group Pm (No. 6), with a = 3.6402 Å, b = 3.3179 Å, c = 8.4113 Å, α = 90.00°, β = 90.27° and γ = 90.00°. Symmetry generates all atoms from Ce at (0.0000, 0.0000, 0.0000), Ce at (0.4959, 0.5000, 0.3045), Ti at (0.0168, 0.0000, 0.5556), Ti at (0.5189, 0.5000, 0.7493), H at (0.2576, 0.0000, 0.7556), H at (0.4980, 0.5000, 0.9897), H at (0.7555, 0.5000, 0.5495) and H at (0.9932, 0.0000, 0.3150).

VASP calculation (PBE) on a geometry-optimized Sr2ReHg structure.

The value obtained for the formation enthalpy at 0 K is 73.6 kJ/mol of atoms. As for the final energy: -26.1 eV per cell.

It has space group I-4m2 (No. 119), with a = 4.6797 Å, b = 4.6797 Å, c = 9.7419 Å, α = 90.00°, β = 90.00° and γ = 90.00°. Symmetry generates all atoms from Sr at (0.0000, 0.0000, 0.0000), Sr at (0.0000, 0.5000, 0.2500), Re at (0.0000, 0.0000, 0.5000) and Hg at (0.0000, 0.5000, 0.7500).

VASP calculation (PBE) on a geometry-optimized SrAcZnPd structure.

The value obtained for the formation enthalpy at 0 K is -39.8 kJ/mol of atoms. As for the final energy: -55.6 eV per cell.

It has space group F-43m (No. 216), with a = 7.6556 Å, b = 7.6556 Å, c = 7.6556 Å, α = 90.00°, β = 90.00° and γ = 90.00°. Symmetry generates all atoms from Sr at (0.0000, 0.0000, 0.0000), Ac at (0.0000, 0.0000, 0.5000), Zn at (0.2500, 0.2500, 0.7500) and Pd at (0.2500, 0.2500, 0.2500).

VASP calculation (PBE) on a geometry-optimized HIr2PdRh structure.

As for the final energy: -32.6 eV per cell.

It has space group P4/mmm (No. 123), with a = 3.9408 Å, b = 3.9408 Å, c = 3.9410 Å, α = 90.00°, β = 90.00° and γ = 90.00°. Symmetry generates all atoms from H at (0.0000, 0.0000, 0.0000), Ir at (0.0000, 0.5000, 0.0000), Pd at (0.5000, 0.5000, 0.5000) and Rh at (0.0000, 0.0000, 0.5000).

VASP calculation (PBE) on a geometry-optimized Tb5Sm8Mg structure.

The value obtained for the formation enthalpy at 0 K is 22.7 kJ/mol of atoms. As for the final energy: -118.4 eV per cell.

It has space group I-4 (No. 82), with a = 9.7155 Å, b = 9.7155 Å, c = 10.0669 Å, α = 90.00°, β = 90.00° and γ = 90.00°. Symmetry generates all atoms from Tb at (0.0000, 0.0000, 0.0000), Tb at (0.1030, 0.2054, 0.4211), Sm at (0.0674, 0.3290, 0.0893), Sm at (0.0888, 0.1834, 0.7533) and Mg at (0.0000, 0.5000, 0.7500).

VASP calculation (PBE) on a geometry-optimized CaBe3Pd structure.

The value obtained for the formation enthalpy at 0 K is 206.1 kJ/mol of atoms. As for the final energy: -7.7 eV per cell.

It has space group Pm-3m (No. 221), with a = 4.8336 Å, b = 4.8336 Å, c = 4.8336 Å, α = 90.00°, β = 90.00° and γ = 90.00°. Symmetry generates all atoms from Ca at (0.0000, 0.0000, 0.0000), Be at (0.0000, 0.0000, 0.5000) and Pd at (0.5000, 0.5000, 0.5000).